VGe2MoC (PBE, optimized geometry); energy of formation = 1.987 eV/atom; total DFT energy (no corrections) = -5.695 eV/atom
1.0
4.852 0.000 0.000
0.000 4.852 0.000
0.000 0.000 4.518
V Ge Mo C
1 2 1 1
Cartesian
0.000 0.000 0.000 V
0.000 2.426 2.259 Ge
2.426 0.000 2.259 Ge
0.000 0.000 2.259 Mo
2.426 2.426 0.000 C

V3OsS (PBE, optimized geometry); uncorrected formation energy = 1125 meV per atom; total DFT energy (no corrections) = -7.417 eV/atom; E above lowest polymorph = 846.6 meV/atom
1.0
4.670 0.000 0.000
0.000 4.670 0.000
0.000 0.000 4.670
V Os S
3 1 1
Cartesian
0.000 0.000 2.335 V
0.000 2.335 0.000 V
2.335 0.000 0.000 V
0.000 0.000 0.000 Os
2.335 2.335 2.335 S

Cu2NiOs (PBE, optimized geometry); energy of formation = 0.316 eV/atom; total DFT energy (no corrections) = -5.984 eV/atom; E above lowest polymorph = 173.5 meV/atom
1.0
2.532 0.000 0.000
0.000 3.811 0.000
0.000 0.000 5.149
Cu Ni Os
2 1 1
Cartesian
0.000 0.000 1.252 Cu
0.000 0.000 3.896 Cu
1.266 1.905 0.000 Ni
1.266 1.905 2.574 Os

Sc5Cu2Te (PBE, optimized geometry); uncorrected formation energy = -452 meV per atom; total DFT energy (no corrections) = -5.826 eV/atom
1.0
-3.726 3.726 5.961
3.726 -3.726 5.961
3.726 3.726 -5.961
Sc Cu Te
10 4 2
Cartesian
0.000 0.000 0.000 Sc
4.871 1.146 -1.669 Sc
1.146 2.580 -1.669 Sc
4.871 1.146 1.669 Sc
1.146 2.580 1.669 Sc
0.000 0.000 5.961 Sc
2.580 1.146 4.292 Sc
-1.146 2.580 4.292 Sc
2.580 1.146 7.630 Sc
-1.146 2.580 7.630 Sc
2.732 0.993 0.000 Cu
2.732 -0.993 5.961 Cu
0.993 4.719 0.000 Cu
0.993 2.732 5.961 Cu
0.000 0.000 2.981 Te
0.000 0.000 8.942 Te

Across the entries above, DOS at the Fermi energy takes the values 1.502 1.647 1.360 0.767 states/eV/atom, respectively.